Entry 1:
DFT (PBE-GGA) results for a geometry-optimized MgTaH structure.

Cell and atoms, written as POSCAR:
```
MgTaH
1.0
-4.221 1.528 -3.969
-0.040 -4.402 -1.652
-1.718 -0.836 2.268
H Mg Ta
2 2 2
direct
0.670 0.250 0.013
0.330 0.750 0.987
0.340 0.250 0.099
0.660 0.750 0.901
0.882 0.250 0.577
0.118 0.750 0.423
```

Results
For the relative energy among the computed polymorphs, the calculation gives 0.097 eV/atom. The value obtained for the total magnetization is 0.00 μB per cell. Its final energy is -5.56 eV/atom.

Entry 2:
DFT (PBE-GGA) results for a geometry-optimized RbAlS2 structure.

Cell and atoms, written as POSCAR:
```
RbAlS2
1.0
2.433 -10.532 0.000
2.433 10.532 0.000
0.000 0.000 4.898
S Al Rb
4 2 2
direct
0.164 0.836 0.250
0.836 0.164 0.750
0.955 0.045 0.250
0.045 0.955 0.750
0.062 0.938 0.250
0.938 0.062 0.750
0.326 0.674 0.250
0.674 0.326 0.750
```

Results
The value obtained for the total magnetization is 0.00 μB per cell. Its uncorrected formation energy is -960 meV/atom. Its final energy is -4.20 eV/atom.

Entry 3:
DFT (PBE-GGA) results for a geometry-optimized MgTc2Ir structure.

Cell and atoms, written as POSCAR:
```
MgTc2Ir
1.0
-0.500 -0.122 -2.979
1.085 -2.821 -0.067
-6.041 -2.350 1.111
Ir Mg Tc
1 1 2
direct
0.000 0.000 0.501
0.500 0.500 0.747
0.000 0.000 0.017
0.500 0.500 0.236
```

Results
The value obtained for the total magnetization is 0.00 μB per cell. For the energy of formation, the calculation gives 3 meV per atom. Its final energy is -7.79 eV/atom.

Entry 4:
DFT (PBE-GGA) results for a geometry-optimized CdTc3N structure.

Cell and atoms, written as POSCAR:
```
CdTc3N
1.0
4.118 0.000 0.000
0.000 4.118 0.000
0.000 0.000 4.118
N Tc Cd
1 3 1
direct
0.000 0.000 0.000
0.000 0.500 0.000
0.000 0.000 0.500
0.500 0.000 0.000
0.500 0.500 0.500
```

Results
For the relative energy among the computed polymorphs, the calculation gives 0.000 eV/atom. The value obtained for the total magnetization is 1.06 μB per cell. Its uncorrected formation energy is 176 meV/atom. Its final energy is -7.89 eV/atom.

Entry 5:
DFT (PBE-GGA) results for a geometry-optimized LiZrN2 structure.

Cell and atoms, written as POSCAR:
```
LiZrN2
1.0
3.602 4.358 2.599
5.569 2.747 0.408
3.461 5.128 -0.665
Li Zr N
1 1 2
direct
0.000 0.000 0.000
0.500 0.500 0.500
0.894 0.894 0.894
0.106 0.106 0.106
```

Results
For the relative energy among the computed polymorphs, the calculation gives 0.106 eV/atom. The value obtained for the total magnetization is 0.90 μB per cell. Its uncorrected formation energy is -673 meV/atom. Its final energy is -7.45 eV/atom.

Entry 6:
DFT (PBE-GGA) results for a geometry-optimized Rb3CdBr structure.

Cell and atoms, written as POSCAR:
```
Rb3CdBr
1.0
-0.772 -4.504 1.370
-6.148 -1.640 -8.856
10.591 -2.241 -1.399
Rb Cd Br
6 2 2
direct
0.250 0.613 0.366
0.750 0.387 0.634
0.250 0.016 0.702
0.750 0.252 0.107
0.750 0.984 0.298
0.250 0.748 0.893
0.750 0.583 0.060
0.250 0.417 0.940
0.750 0.724 0.636
0.250 0.276 0.364
```

Results
For the relative energy among the computed polymorphs, the calculation gives 0.000 eV/atom. The value obtained for the total magnetization is 0.00 μB per cell. Its uncorrected formation energy is -656 meV/atom. Its final energy is -1.75 eV/atom.

Entry 7:
DFT (PBE-GGA) results for a geometry-optimized TbSm4Cu5 structure.

Cell and atoms, written as POSCAR:
```
TbSm4Cu5
1.0
-3.290 0.794 0.958
-1.231 -1.679 -2.836
-0.929 -15.149 9.370
Tb Sm Cu
1 4 5
direct
0.000 0.000 0.000
0.000 0.000 0.198
0.000 0.000 0.399
0.000 0.000 0.601
0.000 0.000 0.802
0.500 0.500 0.096
0.500 0.500 0.299
0.500 0.500 0.500
0.500 0.500 0.701
0.500 0.500 0.904
```

Results
The value obtained for the total magnetization is 0.00 μB per cell. For the energy of formation, the calculation gives -193 meV per atom. Its final energy is -4.59 eV/atom.

Entry 8:
DFT (PBE-GGA) results for a geometry-optimized PaCoP3 structure.

Cell and atoms, written as POSCAR:
```
PaCoP3
1.0
5.378 0.000 0.000
0.000 5.511 -0.001
0.000 0.001 5.448
Pa Co P
2 2 6
direct
0.432 0.292 0.701
0.933 0.061 0.201
0.163 0.778 0.701
0.663 0.575 0.201
0.409 0.267 0.201
0.437 0.841 0.992
0.937 0.512 0.492
0.909 0.086 0.701
0.937 0.512 0.909
0.437 0.841 0.409
```

Results
The value obtained for the total magnetization is 0.00 μB per cell. For the energy of formation, the calculation gives -745 meV per atom. Its final energy is -7.31 eV/atom.

Entry 9:
DFT (PBE-GGA) results for a geometry-optimized HgS6F2 structure.

Cell and atoms, written as POSCAR:
```
HgS6F2
1.0
4.118 0.398 -0.106
0.306 7.132 -2.433
0.105 1.338 7.256
Hg S F
1 6 2
direct
0.000 0.000 0.000
0.883 0.547 0.257
0.117 0.453 0.743
0.837 0.692 0.692
0.953 0.261 0.551
0.047 0.739 0.449
0.163 0.308 0.308
0.397 0.862 0.105
0.603 0.138 0.895
```

Results
The value obtained for the total magnetization is 0.00 μB per cell. Its uncorrected formation energy is -381 meV/atom. Its final energy is -3.58 eV/atom.

Entry 10:
DFT (PBE-GGA) results for a geometry-optimized La6TmSc2 structure.

Cell and atoms, written as POSCAR:
```
La6TmSc2
1.0
-1.703 0.255 -3.183
4.503 -8.299 -3.075
-3.674 -9.142 1.234
La Tm Sc
6 1 2
direct
0.000 0.505 0.158
0.000 0.842 0.495
0.000 0.495 0.842
0.500 0.676 0.324
0.000 0.158 0.505
0.500 0.324 0.676
0.000 0.000 0.000
0.500 0.169 0.169
0.500 0.831 0.831
```

Results
The value obtained for the total magnetization is 0.00 μB per cell. For the energy of formation, the calculation gives 149 meV per atom. Its final energy is -5.04 eV/atom.

Entry 11:
DFT (PBE-GGA) results for a geometry-optimized BaBeRh2 structure.

Cell and atoms, written as POSCAR:
```
BaBeRh2
1.0
5.364 -0.013 0.000
2.366 4.814 0.000
-3.865 -2.401 2.841
Be Rh Ba
1 2 1
direct
0.750 0.250 0.500
0.000 0.000 0.000
0.250 0.750 0.500
0.500 0.500 0.000
```

Results
The value obtained for the total magnetization is 0.00 μB per cell. For the energy of formation, the calculation gives 523 meV per atom. Its final energy is -4.56 eV/atom.

Entry 12:
DFT (PBE-GGA) results for a geometry-optimized AlSiPt2 structure.

Cell and atoms, written as POSCAR:
```
AlSiPt2
1.0
-5.450 4.598 4.017
-7.248 2.920 2.435
-6.197 1.940 4.982
Si Al Pt
1 1 2
direct
0.250 0.250 0.250
0.750 0.750 0.750
0.998 0.998 0.998
0.502 0.502 0.502
```

Results
The value obtained for the total magnetization is 0.00 μB per cell. Its uncorrected formation energy is -587 meV/atom. Its final energy is -5.90 eV/atom.

Which of these has the lowest final energy?
CdTc3N